Record 1
This record from Alexandria via LeMat-Bulk describes Zr2InHPt after structural relaxation. The functional is PBE-GGA.

```
5
Lattice="4.428 0.000 0.000 0.000 4.428 0.000 0.000 0.000 4.188" Properties=species:S:1:pos:R:3 pbc="T T T"
Zr 0.000 2.214 0.000
Zr 2.214 0.000 0.000
In 0.000 0.000 2.094
H 2.214 2.214 0.000
Pt 2.214 2.214 2.094
```

Calculated values
final energy	-6.359	eV per atom
size of the total moment	0.00	Bohr magnetons per cell

---

Record 2
This record from Alexandria via LeMat-Bulk describes Pu2InH after structural relaxation. The functional is PBE-GGA.

```
4
Lattice="3.133 0.000 0.000 0.000 3.133 0.000 0.000 0.000 8.128" Properties=species:S:1:pos:R:3 pbc="T T T"
Pu 0.000 0.000 1.584
Pu 0.000 0.000 6.545
In 1.567 1.567 4.064
H 1.567 1.567 0.000
```

Calculated values
final energy	-8.734	eV per atom
size of the total moment	12.20	Bohr magnetons per cell
E above lowest polymorph	0.009	eV/atom

---

Record 3
This record from Alexandria via LeMat-Bulk describes Pu5In2H after structural relaxation. The functional is PBE-GGA.

```
8
Lattice="0.000 4.644 4.581 4.461 0.000 4.581 4.461 4.644 0.000" Properties=species:S:1:pos:R:3 pbc="T T T"
Pu 0.000 0.000 0.000
Pu 4.461 2.466 2.152
Pu 4.461 6.822 2.152
Pu 6.111 4.644 6.539
Pu 2.811 4.644 6.539
In 2.230 2.322 4.364
In 6.691 6.966 8.945
H 4.461 4.644 2.263
```

Calculated values
final energy	-9.935	eV per atom
size of the total moment	5.00	Bohr magnetons per cell

---

- What is the final energy in the third record?
  -9.935 eV per atom

---

- Among the records above, which one has the highest size of the total moment?
  Pu2InH

---

- Which of these has the lowest size of the total moment?
  Zr2InHPt